Entry 1:
Compound: CaZr2Cl
Source: Alexandria via LeMat-Bulk
Functional: PBE
Structure: relaxed

Raw formation energy (eV/atom): 0.36
Offset from the most stable computed form (meV/atom): 837
E_tot (eV per atom): -4.878
Fermi-level density of states (states/eV/f.u.): 6.85

Unit cell a=5.7369 b=5.7369 c=5.7369 alpha=133.64 beta=133.64 gamma=67.66
With the nearest neighbours (Å) after each atom.
Element x y z (fractional)
Ca: 0.5000 0.5000 0.0000  8 Zr 3.19-3.28, 4 Cl 3.28
Zr: 0.2500 0.7500 0.5000  4 Cl 3.19, 4 Zr 3.28, 4 Ca 3.28
Zr: 0.0000 0.0000 0.0000  4 Ca 3.19, 4 Zr 3.28, 4 Cl 3.28
Cl: 0.7500 0.2500 0.5000  8 Zr 3.19-3.28, 4 Ca 3.28

***

Entry 2:
Compound: TbSc
Source: Alexandria via LeMat-Bulk
Functional: PBE
Structure: relaxed

Offset from the most stable computed form (meV/atom): 116
Formation energy from the elements (eV/atom): 0.16
E_tot (eV per atom): -5.321
Fermi-level density of states (states/eV/f.u.): 4.77

Unit cell a=5.5698 b=5.6150 c=3.6177 alpha=90.00 beta=90.00 gamma=90.00
With the nearest neighbours (Å) after each atom.
Element x y z (fractional)
Sc: 0.0000 0.0000 0.9148  4 Tb 3.32, 6 Sc 3.33-3.62
Sc: 0.0000 0.5000 0.4185  4 Tb 3.32, 6 Sc 3.33-3.62
Tb: 0.5000 0.5000 0.9188  4 Sc 3.32, 6 Tb 3.33-3.62
Tb: 0.5000 0.0000 0.4146  4 Sc 3.32, 6 Tb 3.33-3.62

***

Entry 3:
Compound: V6MoW5
Source: Alexandria via LeMat-Bulk
Functional: PBE
Structure: relaxed

Formation energy from the elements (eV/atom): -0.09
E_tot (eV per atom): -10.946
Fermi-level density of states (states/eV/f.u.): 12.05

Unit cell a=4.3517 b=6.1710 c=7.5558 alpha=114.10 beta=106.74 gamma=90.00
With the nearest neighbours (Å) after each atom.
Element x y z (fractional)
Mo: 0.0000 0.0000 0.0000  8 V 2.66-2.67
W: 0.6663 0.6663 0.3327  8 V 2.67-2.68
W: 0.0000 0.5000 0.0000  8 V 2.67
W: 0.3325 0.8325 0.6650  8 V 2.67-2.68
W: 0.6675 0.1675 0.3350  8 V 2.67-2.68
W: 0.3337 0.3337 0.6673  8 V 2.67-2.68
V: 0.1663 0.4157 0.3326  7 W 2.67-2.68, 1 Mo 2.67
V: 0.5000 0.2489 0.0000  2 Mo 2.66, 6 W 2.67-2.68
V: 0.8337 0.0831 0.6674  7 W 2.67-2.68, 1 Mo 2.67
V: 0.5000 0.7511 0.0000  2 Mo 2.66, 6 W 2.67-2.68
V: 0.8337 0.5843 0.6674  7 W 2.67-2.68, 1 Mo 2.67
V: 0.1663 0.9169 0.3326  7 W 2.67-2.68, 1 Mo 2.67